A plane-wave DFT calculation with PBE-GGA was carried out for a geometry-optimized KAsP2 structure.

a b c (Å): 4.6741 3.3675 6.0314
angles (deg): 90.00 90.00 90.00
With the nearest neighbours (Å) after each atom.
Element x y z (fractional)
P 0.0000 0.2500 0.0747  1 P 2.11
P 0.0000 0.2500 0.4253  1 P 2.11
K 0.5000 0.7500 0.7500  2 K 3.37, 4 As 3.45, 8 P 3.48
As 0.5000 0.2500 0.2500  4 P 2.57

## Properties
Energy of formation (meV per atom): 24
Total magnetization (Bohr magnetons per cell): 0.00
Fermi-level density of states (states/eV/f.u.): 0.904
Symmetry: No. 47

A plane-wave DFT calculation with PBE-GGA was carried out for a geometry-optimized KAs2P structure.

a b c (Å): 3.8146 3.8146 6.6488
angles (deg): 90.00 90.00 90.00
With the nearest neighbours (Å) after each atom.
Element x y z (fractional)
P 0.5000 0.5000 0.8373  1 As 2.23
As 0.5000 0.5000 0.1733  1 P 2.23
As 0.0000 0.0000 0.9870  4 P 2.88, 4 As 2.97
K 0.0000 0.0000 0.5024  6 As 3.22-3.47, 4 P 3.50

## Properties
Energy of formation (meV per atom): 96
Total magnetization (Bohr magnetons per cell): 0.00
Fermi-level density of states (states/eV/f.u.): 3.593
Symmetry: No. 99

A plane-wave DFT calculation with PBE-GGA was carried out for a geometry-optimized KAs2P structure.

a b c (Å): 5.5408 5.5408 5.5408
angles (deg): 133.86 133.86 67.31
With the nearest neighbours (Å) after each atom.
Element x y z (fractional)
As 0.5000 0.5000 0.0000  4 As 3.07, 4 K 3.17, 4 P 3.17
As 0.0000 0.0000 0.0000  4 As 3.07, 4 P 3.17, 4 K 3.17
P 0.7500 0.2500 0.5000  4 K 3.07, 8 As 3.17
K 0.2500 0.7500 0.5000  4 P 3.07, 8 As 3.17

## Properties
Energy of formation (meV per atom): 459
Total magnetization (Bohr magnetons per cell): 0.00
Fermi-level density of states (states/eV/f.u.): 2.266
Symmetry: No. 139